Entry 1:
This record from Alexandria describes a relaxed structure of Pm6SmSc. The functional is PBE-GGA.

Cell: 5.091 5.091 10.173 Å, 90.00 90.00 90.00°
Sites, in units of the cell vectors:
Pm1 0.000 0.000 0.000
Pm2 0.000 0.000 0.500
Pm3 0.000 0.500 0.244
Pm4 0.000 0.500 0.756
Pm5 0.500 0.000 0.244
Pm6 0.500 0.000 0.756
Sm1 0.500 0.500 0.500
Sc1 0.500 0.500 0.000

- Symmetry: P4/mmm, No. 123
- Final energy: -4.9134 eV/atom
- Distance to the lowest polymorph of the same formula: 0.000 eV per atom

=====

Entry 2:
This record from Alexandria describes a relaxed structure of Pm2Sm3Sc. The functional is PBE-GGA.

Cell: 9.591 3.540 11.614 Å, 90.00 94.64 90.00°
Sites, in units of the cell vectors:
Pm1 0.072 0.250 0.342
Pm2 0.423 0.750 0.877
Pm3 0.577 0.250 0.123
Pm4 0.928 0.750 0.658
Sm1 0.101 0.250 0.904
Sm2 0.253 0.250 0.639
Sm3 0.426 0.250 0.378
Sm4 0.574 0.750 0.622
Sm5 0.747 0.750 0.361
Sm6 0.899 0.750 0.096
Sc1 0.260 0.750 0.142
Sc2 0.740 0.250 0.858

- Symmetry: P2_1/m, No. 11
- Final energy: -4.9139 eV/atom
- Distance to the lowest polymorph of the same formula: 0.048 eV per atom

=====

Entry 3:
This record from Alexandria describes a relaxed structure of Pm10Sm4Sc. The functional is PBE-GGA.

Cell: 8.745 8.745 8.745 Å, 111.10 111.10 106.25°
Sites, in units of the cell vectors:
Pm1 0.046 0.724 0.093
Pm2 0.047 0.954 0.678
Pm3 0.250 0.750 0.500
Pm4 0.276 0.370 0.322
Pm5 0.370 0.047 0.093
Pm6 0.630 0.953 0.907
Pm7 0.724 0.630 0.678
Pm8 0.750 0.250 0.500
Pm9 0.953 0.046 0.322
Pm10 0.954 0.276 0.907
Sm1 0.178 0.557 0.735
Sm2 0.443 0.178 0.621
Sm3 0.557 0.822 0.379
Sm4 0.822 0.443 0.265
Sc1 0.500 0.500 0.000

- Symmetry: I4/m, No. 87
- Final energy: -4.5126 eV/atom

=====

Entry 4:
This record from Alexandria describes a relaxed structure of Pm3SmSc6. The functional is PBE-GGA.

Cell: 9.857 9.857 6.130 Å, 90.00 90.00 106.18°
Sites, in units of the cell vectors:
Pm1 0.091 0.909 0.500
Pm2 0.222 0.379 0.020
Pm3 0.379 0.222 0.520
Pm4 0.621 0.778 0.020
Pm5 0.778 0.621 0.520
Pm6 0.909 0.091 0.000
Sm1 0.293 0.707 0.311
Sm2 0.707 0.293 0.811
Sc1 0.043 0.236 0.501
Sc2 0.044 0.523 0.637
Sc3 0.236 0.043 0.001
Sc4 0.256 0.744 0.853
Sc5 0.445 0.555 0.642
Sc6 0.477 0.956 0.637
Sc7 0.523 0.044 0.137
Sc8 0.555 0.445 0.142
Sc9 0.744 0.256 0.353
Sc10 0.764 0.957 0.501
Sc11 0.956 0.477 0.137
Sc12 0.957 0.764 0.001

- Symmetry: Cmc2_1, No. 36
- Final energy: -5.5146 eV/atom

=====

Entry 5:
This record from Alexandria describes a relaxed structure of PmSm2Sc4. The functional is PBE-GGA.

Cell: 6.144 6.243 6.245 Å, 86.47 67.68 67.69°
Sites, in units of the cell vectors:
Pm1 0.000 0.000 0.000
Sm1 0.213 0.551 0.551
Sm2 0.787 0.449 0.449
Sc1 0.307 0.016 0.383
Sc2 0.307 0.385 0.016
Sc3 0.693 0.615 0.984
Sc4 0.693 0.984 0.617

- Symmetry: P-1, No. 2
- Final energy: -5.4359 eV/atom

=====

Entry 6:
This record from Alexandria describes a relaxed structure of Pm6SmSc3. The functional is PBE-GGA.

Cell: 11.476 11.476 6.323 Å, 90.00 90.00 130.78°
Sites, in units of the cell vectors:
Pm1 0.015 0.985 0.500
Pm2 0.106 0.543 0.067
Pm3 0.265 0.378 0.327
Pm4 0.302 0.698 0.547
Pm5 0.378 0.265 0.827
Pm6 0.457 0.894 0.067
Pm7 0.543 0.106 0.567
Pm8 0.622 0.735 0.327
Pm9 0.698 0.302 0.047
Pm10 0.735 0.622 0.827
Pm11 0.894 0.457 0.567
Pm12 0.985 0.015 0.000
Sm1 0.153 0.847 0.751
Sm2 0.847 0.153 0.251
Sc1 0.041 0.296 0.727
Sc2 0.296 0.041 0.227
Sc3 0.417 0.583 0.846
Sc4 0.583 0.417 0.346
Sc5 0.704 0.959 0.727
Sc6 0.959 0.704 0.227

- Symmetry: Cmc2_1, No. 36
- Final energy: -5.0823 eV/atom
- Distance to the lowest polymorph of the same formula: 0.000 eV per atom

=====

Entry 7:
This record from Alexandria describes a relaxed structure of Pm5Sm4Sc. The functional is PBE-GGA.

Cell: 9.401 9.401 8.778 Å, 114.90 114.90 30.11°
Sites, in units of the cell vectors:
Pm1 0.000 0.000 0.000
Pm2 0.327 0.327 0.881
Pm3 0.340 0.340 0.288
Pm4 0.660 0.660 0.712
Pm5 0.673 0.673 0.119
Sm1 0.177 0.177 0.428
Sm2 0.468 0.468 0.711
Sm3 0.532 0.532 0.289
Sm4 0.823 0.823 0.572
Sc1 0.000 0.000 0.500

- Symmetry: C2/m, No. 12
- Final energy: -4.6681 eV/atom
- Distance to the lowest polymorph of the same formula: 0.015 eV per atom

=====

Entry 8:
This record from Alexandria describes a relaxed structure of Pm6Sm5Sc2. The functional is PBE-GGA.

Cell: 10.858 22.665 3.521 Å, 90.00 90.00 90.00°
Sites, in units of the cell vectors:
Pm1 0.031 0.113 0.000
Pm2 0.139 0.383 0.000
Pm3 0.165 0.640 0.500
Pm4 0.335 0.140 0.500
Pm5 0.361 0.883 0.000
Pm6 0.469 0.613 0.000
Pm7 0.531 0.387 0.000
Pm8 0.639 0.117 0.000
Pm9 0.665 0.860 0.500
Pm10 0.835 0.360 0.500
Pm11 0.861 0.617 0.000
Pm12 0.969 0.887 0.000
Sm1 0.000 0.500 0.500
Sm2 0.086 0.249 0.500
Sm3 0.166 0.992 0.500
Sm4 0.334 0.492 0.500
Sm5 0.414 0.749 0.500
Sm6 0.500 0.000 0.500
Sm7 0.586 0.251 0.500
Sm8 0.666 0.508 0.500
Sm9 0.834 0.008 0.500
Sm10 0.914 0.751 0.500
Sc1 0.164 0.772 0.000
Sc2 0.336 0.272 0.000
Sc3 0.664 0.728 0.000
Sc4 0.836 0.228 0.000

- Symmetry: Pbam, No. 55
- Final energy: -4.8393 eV/atom

=====

no.,spin magnetization (μB per cell)
1,0.00
2,0.00
3,0.00
4,0.00
5,0.00
6,0.00
7,0.00
8,0.00